<one>
Below is crystalline TlFeRe2 at its relaxed geometry, with properties calculated at the PBE-GGA level.

abc: 2.8682 2.8682 27.4623
angles: 90.00 90.00 120.00
With the nearest neighbours (Å) after each atom.
Space group R3m (No. 160, hexagonal axes)
Symmetry-distinct sites (fractional):
Tl1 0.0000 0.0000 0.0000 [3 per cell]  6 Tl 2.87, 3 Fe 2.88, 3 Re 3.06
Fe1 0.0000 0.0000 0.7526 [3 per cell]  3 Re 2.69, 6 Fe 2.87, 3 Tl 2.88
Re1 0.0000 0.0000 0.2395 [3 per cell]  9 Re 2.67-2.87
Re2 0.0000 0.0000 0.4966 [3 per cell]  9 Re 2.67-2.87, 3 Fe 2.69

Computed properties:
Calculated density, g/cm3: 16.11
D(E_F), states/eV/f.u.: 2.4
Crystal system: trigonal


<two>
Below is crystalline TlFeRe2 at its relaxed geometry, with properties calculated at the PBE-GGA level.

abc: 2.9716 2.9716 7.5220
angles: 90.00 90.00 90.00
With the nearest neighbours (Å) after each atom.
Space group P4mm (No. 99)
Symmetry-distinct sites (fractional):
Tl1 0.0000 0.0000 0.0000 [1 per cell]  4 Fe 2.93, 4 Tl 2.97, 4 Re 3.10
Fe1 0.5000 0.5000 0.2715 [1 per cell]  4 Re 2.68, 4 Tl 2.93, 4 Fe 2.97
Re1 0.0000 0.0000 0.4920 [1 per cell]  4 Re 2.61, 4 Fe 2.68
Re2 0.5000 0.5000 0.6974 [1 per cell]  4 Re 2.61

Computed properties:
Calculated density, g/cm3: 15.82
D(E_F), states/eV/f.u.: 4.6
Crystal system: tetragonal


<three>
Below is crystalline TlFeRe2 at its relaxed geometry, with properties calculated at the PBE-GGA level.

abc: 7.3479 7.3479 5.0657
angles: 90.00 90.00 90.00
With the nearest neighbours (Å) after each atom.
Space group I-42d (No. 122)
Symmetry-distinct sites (fractional):
Tl1 0.0000 0.0000 0.0000 [4 per cell]  2 Fe 2.53
Fe1 0.0000 0.0000 0.5000 [4 per cell]  4 Re 2.36, 2 Tl 2.53
Re1 0.1829 0.2500 0.6250 [8 per cell]  2 Fe 2.36

Computed properties:
Calculated density, g/cm3: 15.36
D(E_F), states/eV/f.u.: 4.8
Crystal system: tetragonal


<four>
Below is crystalline TlFeRe2 at its relaxed geometry, with properties calculated at the PBE-GGA level.

abc: 2.8036 4.4939 10.2008
angles: 90.00 90.00 90.00
With the nearest neighbours (Å) after each atom.
Space group Immm (No. 71)
Symmetry-distinct sites (fractional):
Tl1 0.0000 0.0000 0.0000 [2 per cell]  4 Fe 2.65, 2 Tl 2.80
Fe1 0.0000 0.0000 0.5000 [2 per cell]  4 Re 2.57, 4 Tl 2.65, 2 Fe 2.80
Re1 0.0000 0.5000 0.2117 [4 per cell]  2 Fe 2.57, 6 Re 2.76-2.80

Computed properties:
Calculated density, g/cm3: 16.35
D(E_F), states/eV/f.u.: 3.1
Crystal system: orthorhombic


Question: of the structures shown, which is the most stable? Reply: <two>.